Computed, not measured: crystalline MoOs4W at its relaxed geometry at the PBE-GGA level of DFT.

a = 4.366 Å, b = 4.366 Å, c = 5.502 Å
α = 90.00°, β = 90.00°, γ = 59.99°
Sites, in units of the cell vectors:
1 Mo 0.000 0.000 0.000
2 Os 0.333 0.333 0.252
3 Os 0.667 0.667 0.253
4 Os 0.667 0.667 0.748
5 Os 0.333 0.333 0.747
6 W 0.000 0.000 0.500

V = 15.14 Å³ per atom
energy above the lowest structure with this stoichiometry = 0 meV/atom
DOS at the Fermi energy = 0.795 states/eV per atom
magnetization = 0.0 μB/f.u.
formation energy = 3.313 kcal/mol of atoms